Record 1
Compound: MnBe17Rh
Source: the Alexandria database
Functional: PBE
Structure: relaxed

Results
The energy of formation is -0.1554 eV per atom.

Unit cell a=5.454 b=5.454 c=5.454 alpha=82.39 beta=82.39 gamma=82.39
Sites, in units of the cell vectors:
Mn: 0.000 0.000 0.000
Be: 0.015 0.015 0.499
Be: 0.015 0.499 0.015
Be: 0.161 0.671 0.671
Be: 0.317 0.317 0.819
Be: 0.317 0.819 0.317
Be: 0.360 0.666 0.971
Be: 0.360 0.971 0.666
Be: 0.499 0.015 0.015
Be: 0.565 0.565 0.565
Be: 0.666 0.360 0.971
Be: 0.666 0.971 0.360
Be: 0.671 0.161 0.671
Be: 0.671 0.671 0.161
Be: 0.767 0.767 0.767
Be: 0.819 0.317 0.317
Be: 0.971 0.360 0.666
Be: 0.971 0.666 0.360
Rh: 0.332 0.332 0.332

Record 2
Compound: AlAg2Br
Source: the Alexandria database
Functional: PBE
Structure: relaxed

Results
As for the formation energy from raw total energies: 0.15 eV/atom.

Unit cell a=5.915 b=5.915 c=3.490 alpha=106.87 beta=106.87 gamma=120.73
Sites, in units of the cell vectors:
Al: 0.000 0.000 0.000
Ag: 0.000 0.500 0.000
Ag: 0.500 0.000 0.000
Br: 0.500 0.500 0.000

Record 3
Compound: MgCo2Tc
Source: the Alexandria database
Functional: PBE
Structure: relaxed

Results
The energy of formation is 0.1628 eV per atom.

Unit cell a=4.339 b=4.339 c=2.776 alpha=90.00 beta=90.00 gamma=90.00
Sites, in units of the cell vectors:
Mg: 0.000 0.000 0.000
Co: 0.000 0.500 0.500
Co: 0.500 0.000 0.500
Tc: 0.500 0.500 0.000

Record 4
Compound: MoP2
Source: the Alexandria database
Functional: PBE
Structure: relaxed

Results
The energy of formation is 0.4374 eV per atom.

Unit cell a=4.050 b=4.050 c=6.211 alpha=90.00 beta=90.00 gamma=120.00
Sites, in units of the cell vectors:
Mo: 0.000 0.000 0.250
Mo: 0.000 0.000 0.750
P: 0.333 0.667 0.066
P: 0.333 0.667 0.434
P: 0.667 0.333 0.566
P: 0.667 0.333 0.934